A relaxed structure of ZrCuB. Source: Alexandria, functional PBE-GGA.

Cell: 6.1898 3.4991 7.1570 Å, 90.00 90.00 90.00°
Fractional positions:
1 Zr 0.0296 0.2500 0.1816
2 Zr 0.4704 0.7500 0.6816
3 Zr 0.5296 0.2500 0.3184
4 Zr 0.9704 0.7500 0.8184
5 Cu 0.1424 0.2500 0.5520
6 Cu 0.3576 0.7500 0.0520
7 Cu 0.6424 0.2500 0.9480
8 Cu 0.8576 0.7500 0.4480
9 B 0.2460 0.7500 0.3774
10 B 0.2540 0.2500 0.8774
11 B 0.7460 0.7500 0.1226
12 B 0.7540 0.2500 0.6226

Results
- space-group type = Pnma, No. 62
- VASP energy (eV/atom) = -6.7862
- ΔH_f (0 K) (eV per formula unit) = -1.04
- M_tot (μB per atom) = 0.00

=====

A relaxed structure of ZrCuB. Source: Alexandria, functional PBE-GGA.

Cell: 6.9510 6.9510 6.9510 Å, 150.61 150.61 42.05°
Fractional positions:
1 Zr 0.0000 0.0000 0.0000
2 Zr 0.7500 0.2500 0.5000
3 Cu 0.1580 0.6580 0.5000
4 Cu 0.3420 0.8420 0.5000
5 B 0.4343 0.4343 0.0000
6 B 0.5657 0.5657 0.0000

Results
- space-group type = I-4m2, No. 119
- VASP energy (eV/atom) = -6.7243
- ΔH_f (0 K) (eV per formula unit) = -0.85
- M_tot (μB per atom) = 0.00

=====

A relaxed structure of ZrCuB. Source: Alexandria, functional PBE-GGA.

Cell: 3.4041 4.4518 6.2421 Å, 100.03 90.19 112.20°
Fractional positions:
1 Zr 0.1130 0.2304 0.3086
2 Zr 0.8870 0.7696 0.6914
3 Cu 0.3655 0.7291 0.0706
4 Cu 0.6345 0.2709 0.9294
5 B 0.4117 0.8235 0.4189
6 B 0.5883 0.1765 0.5811

Results
- space-group type = P-1, No. 2
- VASP energy (eV/atom) = -6.7061
- ΔH_f (0 K) (eV per formula unit) = -0.80
- M_tot (μB per atom) = 0.00

=====

A relaxed structure of ZrCuB. Source: Alexandria, functional PBE-GGA.

Cell: 4.6643 4.6643 6.2914 Å, 93.37 93.37 39.06°
Fractional positions:
1 Zr 0.0000 0.0000 0.0000
2 Zr 0.7225 0.7225 0.6248
3 Cu 0.4383 0.4383 0.3597
4 Cu 0.7281 0.7281 0.1782
5 B 0.0056 0.0056 0.6138
6 B 0.4465 0.4465 0.6938

Results
- space-group type = Cm, No. 8
- VASP energy (eV/atom) = -6.6335
- ΔH_f (0 K) (eV per formula unit) = -0.58
- M_tot (μB per atom) = 0.00

=====

A relaxed structure of DyB4. Source: Alexandria, functional PBE-GGA.

Cell: 7.1035 7.1035 4.0176 Å, 90.00 90.00 90.00°
Fractional positions:
1 Dy 0.1818 0.3182 0.0000
2 Dy 0.3182 0.8182 0.0000
3 Dy 0.6818 0.1818 0.0000
4 Dy 0.8182 0.6818 0.0000
5 B 0.0000 0.0000 0.2034
6 B 0.0000 0.0000 0.7966
7 B 0.0389 0.8238 0.5000
8 B 0.0870 0.5870 0.5000
9 B 0.1762 0.0389 0.5000
10 B 0.3238 0.5389 0.5000
11 B 0.4130 0.0870 0.5000
12 B 0.4611 0.3238 0.5000
13 B 0.5000 0.5000 0.2034
14 B 0.5000 0.5000 0.7966
15 B 0.5389 0.6762 0.5000
16 B 0.5870 0.9130 0.5000
17 B 0.6762 0.4611 0.5000
18 B 0.8238 0.9611 0.5000
19 B 0.9130 0.4130 0.5000
20 B 0.9611 0.1762 0.5000

Results
- space-group type = P4/mbm, No. 127
- energy above the lowest structure with this stoichiometry (meV/atom) = 0
- VASP energy (eV/atom) = -6.8571
- ΔH_f (0 K) (eV per formula unit) = -2.97
- M_tot (μB per atom) = 0.00

=====

A relaxed structure of DyB4. Source: Alexandria, functional PBE-GGA.

Cell: 4.7421 4.7421 4.7421 Å, 90.00 90.00 90.00°
Fractional positions:
1 Dy 0.0000 0.0000 0.0000
2 B 0.0000 0.0000 0.5000
3 B 0.0000 0.5000 0.0000
4 B 0.5000 0.0000 0.0000
5 B 0.5000 0.5000 0.5000

Results
- space-group type = Pm-3m, No. 221
- energy above the lowest structure with this stoichiometry (meV/atom) = 3717
- VASP energy (eV/atom) = -3.1400
- ΔH_f (0 K) (eV per formula unit) = 15.61
- M_tot (μB per atom) = 0.04